Compound: Cs2RbMn2F7
Source: Alexandria
Functional: GGA+U
Structure: optimized geometry

Cell lengths 4.3623, 4.3623, 23.5205 Å; angles 90.00, 90.00, 90.00 degrees
Space group I4/mmm (No. 139)
One atom of each set of equivalent atoms:
Cs  0.0000  0.0000  0.1848
Rb  0.0000  0.0000  0.0000
Mn  0.0000  0.0000  0.4087
F  0.0000  0.0000  0.3178
F  0.0000  0.0000  0.5000
F  0.0000  0.5000  0.0902

The spin magnetization is 20.00 μB per cell. For the total energy, the calculation gives -5.313 eV/atom.